Density functional theory data (PBE) for crystalline BeSe2BrF at its relaxed geometry.

```
data_BeSe2BrF
_cell_length_a 4.5228
_cell_length_b 4.5228
_cell_length_c 4.6594
_cell_angle_alpha 90.00
_cell_angle_beta 90.00
_cell_angle_gamma 90.00
_space_group_name_H-M_alt 'P 4/m m m'
_space_group_IT_number 123
_space_group_name_Hall '-P 4 2'
loop_
_atom_site_label
_atom_site_type_symbol
_atom_site_fract_x
_atom_site_fract_y
_atom_site_fract_z
_atom_site_occupancy
Be1 Be 0.0000 0.0000 0.0000 1
Se1 Se 0.0000 0.5000 0.0000 1
Br1 Br 0.0000 0.0000 0.5000 1
F1 F 0.5000 0.5000 0.5000 1
```

Properties
E above lowest polymorph ... 0.00 eV per formula unit
Volume ... 95.3 Å³/f.u.
ΔE_f (raw) ... 0.10 eV/atom

---

Density functional theory data (PBE) for crystalline Sr2BeBrF at its relaxed geometry.

```
data_Sr2BeBrF
_cell_length_a 5.7264
_cell_length_b 5.7264
_cell_length_c 4.8627
_cell_angle_alpha 90.00
_cell_angle_beta 90.00
_cell_angle_gamma 90.00
_space_group_name_H-M_alt 'P 4/m m m'
_space_group_IT_number 123
_space_group_name_Hall '-P 4 2'
loop_
_atom_site_label
_atom_site_type_symbol
_atom_site_fract_x
_atom_site_fract_y
_atom_site_fract_z
_atom_site_occupancy
Sr1 Sr 0.0000 0.5000 0.0000 1
Be1 Be 0.0000 0.0000 0.0000 1
Br1 Br 0.0000 0.0000 0.5000 1
F1 F 0.5000 0.5000 0.5000 1
```

Properties
Volume ... 159.5 Å³/f.u.
ΔE_f (raw) ... -0.61 eV/atom

---

Density functional theory data (PBE) for crystalline TaBeBrF2 at its relaxed geometry.

```
data_TaBeBrF2
_cell_length_a 4.1882
_cell_length_b 4.1882
_cell_length_c 5.4116
_cell_angle_alpha 90.00
_cell_angle_beta 90.00
_cell_angle_gamma 90.00
_space_group_name_H-M_alt 'P 4/m m m'
_space_group_IT_number 123
_space_group_name_Hall '-P 4 2'
loop_
_atom_site_label
_atom_site_type_symbol
_atom_site_fract_x
_atom_site_fract_y
_atom_site_fract_z
_atom_site_occupancy
Ta1 Ta 0.0000 0.0000 0.0000 1
Be1 Be 0.5000 0.5000 0.5000 1
Br1 Br 0.0000 0.0000 0.5000 1
F1 F 0.0000 0.5000 0.0000 1
```

Properties
Volume ... 94.9 Å³/f.u.
ΔE_f (raw) ... -0.63 eV/atom

---

Density functional theory data (PBE) for crystalline BeTeBrF2 at its relaxed geometry.

```
data_BeTeBrF2
_cell_length_a 4.1737
_cell_length_b 4.1737
_cell_length_c 6.4043
_cell_angle_alpha 90.00
_cell_angle_beta 90.00
_cell_angle_gamma 90.00
_space_group_name_H-M_alt 'P 4/m m m'
_space_group_IT_number 123
_space_group_name_Hall '-P 4 2'
loop_
_atom_site_label
_atom_site_type_symbol
_atom_site_fract_x
_atom_site_fract_y
_atom_site_fract_z
_atom_site_occupancy
Be1 Be 0.0000 0.0000 0.0000 1
Te1 Te 0.5000 0.5000 0.0000 1
Br1 Br 0.5000 0.5000 0.5000 1
F1 F 0.0000 0.5000 0.5000 1
```

Properties
Volume ... 111.6 Å³/f.u.
ΔE_f (raw) ... 0.04 eV/atom